Li2ScPb: PBEsol geometry, SCAN. Values from VASP.

Summary:
Crystal system: tetragonal
Density (g/cm³): 5.4
ΔH_f (0 K) (eV per atom): -0.39
Size of the total moment (μB per formula unit): 0.0

Quantum ESPRESSO input file:
```
&SYSTEM
  ibrav = 0, nat = 4, ntyp = 3
/
ATOMIC_SPECIES
Li 6.94 Li.upf
Sc 44.96 Sc.upf
Pb 207.20 Pb.upf
CELL_PARAMETERS angstrom
4.1964 0.0000 0.0000
0.0000 4.1964 0.0000
0.0000 0.0000 4.6678
ATOMIC_POSITIONS crystal
Li 0.0000 0.5000 0.0000
Li 0.5000 0.0000 0.0000
Sc 0.0000 0.0000 0.5000
Pb 0.5000 0.5000 0.5000
```